# K2ScNbO6 PBE optimized geometry
data_K2ScNbO6
_symmetry_space_group_name_H-M 'P 1'
_symmetry_Int_Tables_number 1
_cell_length_a 5.8560
_cell_length_b 5.8560
_cell_length_c 5.8560
_cell_angle_alpha 60.00
_cell_angle_beta 60.00
_cell_angle_gamma 60.00
loop_
_symmetry_equiv_pos_as_xyz
'x,y,z'
loop_
_atom_site_label
_atom_site_type_symbol
_atom_site_fract_x
_atom_site_fract_y
_atom_site_fract_z
_atom_site_occupancy
K1 K 0.2500 0.2500 0.2500 1
K2 K 0.7500 0.7500 0.7500 1
Sc1 Sc 0.0000 0.0000 0.0000 1
Nb1 Nb 0.5000 0.5000 0.5000 1
O1 O 0.2567 0.2567 0.7433 1
O2 O 0.2567 0.7433 0.2567 1
O3 O 0.2567 0.7433 0.7433 1
O4 O 0.7433 0.2567 0.2567 1
O5 O 0.7433 0.2567 0.7433 1
O6 O 0.7433 0.7433 0.2567 1
# **M_tot**: 2.036 Bohr magnetons per cell
# **DFT total energy**: -70.51 eV/cell
# **Uncorrected formation energy**: -2.2161 eV per atom